Record 1
The following is a DFT calculation (GGA-PBE) of AcDyPO after structural relaxation.

## Properties
- Energy: -54.28 eV for the cell shown
- Total magnetic moment: 0.0 μB/f.u.

Cell: 4.497 4.497 9.285 Å, 90.00 90.00 90.00°
Space group P4/nmm (No. 129, origin choice 2)
Asymmetric unit:
Ac  0.250  0.250  0.121 (multiplicity 2)
Dy  0.250  0.750  0.500 (multiplicity 2)
P  0.250  0.250  0.674 (multiplicity 2)
O  0.250  0.750  0.000 (multiplicity 2)

***

Record 2
The following is a DFT calculation (GGA-PBE) of Pd3C2Se2 after structural relaxation.

## Properties
- Energy: -98.01 eV for the cell shown

Cell: 6.1159 6.1159 10.2945 Å, 90.00 90.00 120.00°
Space group R-3m (No. 166, hexagonal axes)
Asymmetric unit:
Pd  0.0000  0.5000  0.0000 (multiplicity 9)
C  0.0000  0.0000  0.0000 (multiplicity 3)
C  0.0000  0.0000  0.5000 (multiplicity 3)
Se  0.0000  0.0000  0.1715 (multiplicity 6)

***

Record 3
The following is a DFT calculation (GGA-PBE) of Y4Zr2C3S3 after structural relaxation.

## Properties
- Energy: -393.35 eV for the cell shown
- Total magnetic moment: 0.0 μB/f.u.

Cell: 10.805 6.248 13.206 Å, 90.00 105.89 90.00°
Space group C2/c (No. 15)
Asymmetric unit:
Y  0.119  0.081  0.107 (multiplicity 8)
Y  0.213  0.085  0.393 (multiplicity 8)
Zr  0.053  0.415  0.905 (multiplicity 8)
C  0.076  0.271  0.500 (multiplicity 8)
C  0.250  0.250  0.000 (multiplicity 4)
S  0.000  0.100  0.750 (multiplicity 4)
S  0.158  0.425  0.249 (multiplicity 8)

***

> Which of these has the highest energy?

AcDyPO

***

> Which value of energy does entry 3 give?

-393.35 eV for the cell shown

***

> Which of these has the highest energy?

AcDyPO